Entry 1:
## Nd5NiHg4 (GGA-PBE)

Data for Nd5NiHg4 after structural relaxation.

Values from the calculation:
* energy of formation: -0.411 eV per atom
* density: 9.75 g/cm3

abc: 3.741 3.741 19.263
angles: 90.00 90.00 90.00
Atoms (fractional coordinates):
Nd: 0.000 0.000 0.000
Nd: 0.000 0.000 0.207
Nd: 0.000 0.000 0.415
Nd: 0.000 0.000 0.585
Nd: 0.000 0.000 0.793
Ni: 0.500 0.500 0.500
Hg: 0.500 0.500 0.104
Hg: 0.500 0.500 0.309
Hg: 0.500 0.500 0.691
Hg: 0.500 0.500 0.896

=====

Entry 2:
## NdNiHg2 (GGA-PBE)

Data for NdNiHg2 after structural relaxation.

Values from the calculation:
* energy of formation: -0.156 eV per atom
* density: 10.90 g/cm3

abc: 5.804 5.804 5.804
angles: 45.91 45.91 45.91
Atoms (fractional coordinates):
Nd: 0.000 0.000 0.000
Ni: 0.500 0.500 0.500
Hg: 0.220 0.220 0.220
Hg: 0.780 0.780 0.780

=====

> The lowest density belongs to which entry?

Nd5NiHg4

=====

> What is the formula in the second record?

NdNiHg2